Density functional theory data (PBE) for a relaxed CeTe2I2 crystal.

```
CeTe2I2
1.0
3.976 -7.404 0.000
3.976 7.404 0.000
-1.428 0.000 7.928
Ce Te I
2 4 4
Direct
0.157 0.843 0.000
0.843 0.157 0.000
0.038 0.038 0.295
0.259 0.259 0.928
0.741 0.741 0.072
0.962 0.962 0.705
0.127 0.559 0.246
0.441 0.873 0.754
0.559 0.127 0.246
0.873 0.441 0.754
```

Formation energy (no corrections) ... -0.96 eV per atom
Crystal system ... monoclinic
N(E_F) ... 5.25 states/eV/f.u.
M_tot ... 0.71 μB per formula unit

Density functional theory data (PBE) for a relaxed CrPPdW2 crystal.

```
CrPPdW2
1.0
4.457 0.000 0.000
0.000 4.457 0.000
0.000 0.000 4.128
Cr P Pd W
1 1 1 2
Direct
0.000 0.000 0.000
0.000 0.000 0.500
0.500 0.500 0.000
0.000 0.500 0.500
0.500 0.000 0.500
```

Formation energy from the elements ... 798 meV per atom
Crystal system ... tetragonal
N(E_F) ... 7.29 states/eV/f.u.
M_tot ... 0.00 μB per formula unit

Density functional theory data (PBE) for a relaxed ReHg crystal.

```
ReHg
1.0
7.597 0.000 0.000
0.000 7.597 0.000
0.000 0.000 7.597
Re Hg
6 6
Direct
0.000 0.250 0.500
0.000 0.750 0.500
0.250 0.500 0.000
0.500 0.000 0.250
0.500 0.000 0.750
0.750 0.500 0.000
0.000 0.500 0.250
0.000 0.500 0.750
0.250 0.000 0.500
0.500 0.250 0.000
0.500 0.750 0.000
0.750 0.000 0.500
```

ΔE to the lowest computed polymorph ... 2330 meV/atom
Formation energy from the elements ... 2723 meV per atom
Crystal system ... cubic
N(E_F) ... 1.93 states/eV/f.u.
M_tot ... 3.04 μB per formula unit

Density functional theory data (PBE) for a relaxed BeZnRh2 crystal.

```
BeZnRh2
1.0
-1.904 1.904 8.052
1.904 -1.904 8.052
1.904 1.904 -8.052
Be Zn Rh
2 2 4
Direct
0.000 0.000 0.000
0.750 0.250 0.500
0.250 0.750 0.500
0.500 0.500 0.000
0.089 0.625 0.964
0.375 0.339 0.464
0.661 0.125 0.036
0.875 0.911 0.536
```

ΔE to the lowest computed polymorph ... 660 meV/atom
Formation energy from the elements ... 197 meV per atom
Crystal system ... tetragonal
N(E_F) ... 3.61 states/eV/f.u.
M_tot ... 0.00 μB per formula unit

Density functional theory data (PBE) for a relaxed InAgPdPt crystal.

```
InAgPdPt
1.0
3.862 0.000 0.000
0.000 4.185 0.000
0.000 0.000 4.234
In Ag Pd Pt
1 1 1 1
Direct
0.000 0.000 0.000
0.000 0.500 0.500
0.500 0.000 0.500
0.500 0.500 0.000
```

ΔE to the lowest computed polymorph ... 0 meV/atom
Formation energy from the elements ... -344 meV per atom
Crystal system ... orthorhombic
N(E_F) ... 1.03 states/eV/f.u.
M_tot ... 0.00 μB per formula unit

Density functional theory data (PBE) for a relaxed NdTmSnHg crystal.

```
NdTmSnHg
1.0
0.000 3.775 3.775
3.775 0.000 3.775
3.775 3.775 0.000
Nd Tm Sn Hg
1 1 1 1
Direct
0.000 0.000 0.000
0.500 0.500 0.500
0.250 0.250 0.250
0.750 0.750 0.750
```

ΔE to the lowest computed polymorph ... 11 meV/atom
Formation energy from the elements ... -552 meV per atom
Crystal system ... cubic
N(E_F) ... 3.58 states/eV/f.u.
M_tot ... 0.00 μB per formula unit

Density functional theory data (PBE) for a relaxed K8TiSe6 crystal.

```
K8TiSe6
1.0
9.392 0.000 0.000
0.000 8.596 0.000
0.000 0.000 13.490
K Ti Se
16 2 12
Direct
0.000 0.021 0.050
0.000 0.136 0.500
0.195 0.488 0.352
0.227 0.672 0.618
0.230 0.931 0.302
0.270 0.069 0.802
0.273 0.328 0.118
0.305 0.512 0.852
0.500 0.864 0.000
0.500 0.979 0.550
0.695 0.512 0.852
0.727 0.328 0.118
0.730 0.069 0.802
0.770 0.931 0.302
0.773 0.672 0.618
0.805 0.488 0.352
0.000 0.635 0.991
0.500 0.365 0.491
0.000 0.207 0.258
0.000 0.364 0.941
0.000 0.767 0.452
0.000 0.788 0.840
0.209 0.701 0.088
0.291 0.299 0.588
0.500 0.212 0.340
0.500 0.233 0.952
0.500 0.636 0.441
0.500 0.793 0.758
0.709 0.299 0.588
0.791 0.701 0.088
```

Formation energy (no corrections) ... -1.16 eV per atom
Crystal system ... orthorhombic
M_tot ... 0.00 μB per formula unit

Density functional theory data (PBE) for a relaxed AcZnGa2Pd2 crystal.

```
AcZnGa2Pd2
1.0
4.398 0.000 0.000
-2.199 3.809 0.000
0.000 0.000 7.250
Ac Zn Ga Pd
1 1 2 2
Direct
0.000 0.000 0.000
0.000 0.000 0.500
0.333 0.667 0.711
0.667 0.333 0.289
0.333 0.667 0.351
0.667 0.333 0.649
```

Formation energy from the elements ... -656 meV per atom
Crystal system ... trigonal
N(E_F) ... 3.95 states/eV/f.u.
M_tot ... 0.00 μB per formula unit

| no. | ρ (Mg/m³) |
| --- | --- |
| 1 | 4.62 |
| 2 | 11.28 |
| 3 | 8.79 |
| 4 | 7.97 |
| 5 | 12.72 |
| 6 | 9.76 |
| 7 | 2.54 |
| 8 | 8.82 |